(1)
# Ba2RuS2 GGA-PBE relaxed
# polymorph energy (0 for the lowest one) = 0 meV per atom
# calculated volume = 296.3 Å³ per cell
# symmetry = No. 127
# DOS(E_F) = 11.63 states/eV/cell
data_Ba2RuS2
_chemical_formula_sum 'Ba4 Ru2 S4'
_symmetry_space_group_name_H-M 'P 1'
_symmetry_Int_Tables_number 1
_symmetry_space_group_name_Hall 'P 1'
_cell_length_a 8.718
_cell_length_b 8.718
_cell_length_c 3.899
_cell_angle_alpha 90.00
_cell_angle_beta 90.00
_cell_angle_gamma 90.00
loop_
_atom_site_label
_atom_site_fract_x
_atom_site_fract_y
_atom_site_fract_z
Ba1 0.148 0.352 0.000
Ba2 0.352 0.852 0.000
Ba3 0.648 0.148 0.000
Ba4 0.852 0.648 0.000
Ru1 0.000 0.000 0.000
Ru2 0.500 0.500 0.000
S1 0.158 0.658 0.500
S2 0.342 0.158 0.500
S3 0.658 0.842 0.500
S4 0.842 0.342 0.500

(2)
# Ba2RuS2 GGA-PBE relaxed
# polymorph energy (0 for the lowest one) = 208 meV per atom
# calculated volume = 188.2 Å³ per cell
# symmetry = No. 139
# DOS(E_F) = 1.59 states/eV/cell
data_Ba2RuS2
_chemical_formula_sum 'Ba2 Ru1 S2'
_symmetry_space_group_name_H-M 'P 1'
_symmetry_Int_Tables_number 1
_symmetry_space_group_name_Hall 'P 1'
_cell_length_a 6.882
_cell_length_b 6.882
_cell_length_c 6.882
_cell_angle_alpha 129.70
_cell_angle_beta 129.70
_cell_angle_gamma 73.89
loop_
_atom_site_label
_atom_site_fract_x
_atom_site_fract_y
_atom_site_fract_z
Ba1 0.178 0.178 0.000
Ba2 0.822 0.822 0.000
Ru1 0.500 0.500 0.000
S1 0.250 0.750 0.500
S2 0.750 0.250 0.500

Q: DOS(E_F) of number 1 (Ba2RuS2)?
A: 11.63 states/eV/cell